Entry 1:
First-principles (PBE) data for an optimized crystal structure of TcAuIN2, as listed in Alexandria.

Cell: 3.935 3.935 7.407 Å, 90.00 90.00 90.00°
Fractional positions:
Tc (0.000, 0.000, 0.000)
Au (0.500, 0.500, 0.500)
I (0.500, 0.500, 0.000)
N (0.000, 0.500, 0.500)
N (0.500, 0.000, 0.500)

Output
**Total magnetic moment**: 0.697 μB per atom
**Space group**: No. 123
**Relative energy among the computed polymorphs**: 1.4172 eV/atom

Entry 2:
First-principles (PBE) data for an optimized crystal structure of TcAuIN2, as listed in Alexandria.

Cell: 3.901 3.901 5.967 Å, 90.00 90.00 90.00°
Fractional positions:
Tc (0.000, 0.000, 0.000)
Au (0.500, 0.500, 0.500)
I (0.000, 0.000, 0.500)
N (0.000, 0.500, 0.000)
N (0.500, 0.000, 0.000)

Output
**Total magnetic moment**: 0.000 μB per atom
**Space group**: No. 123
**Relative energy among the computed polymorphs**: 0.0000 eV/atom

Entry 3:
First-principles (PBE) data for an optimized crystal structure of TeAuIN2, as listed in Alexandria.

Cell: 4.350 4.350 6.055 Å, 90.00 90.00 90.00°
Fractional positions:
Te (0.000, 0.000, 0.000)
Au (0.000, 0.000, 0.500)
I (0.500, 0.500, 0.000)
N (0.000, 0.500, 0.500)
N (0.500, 0.000, 0.500)

Output
**Total magnetic moment**: 0.790 μB per atom
**Space group**: No. 123
**Relative energy among the computed polymorphs**: 0.3165 eV/atom

Entry 4:
First-principles (PBE) data for an optimized crystal structure of Te2AuIN, as listed in Alexandria.

Cell: 5.461 5.461 5.481 Å, 90.00 90.00 90.00°
Fractional positions:
Te (0.000, 0.500, 0.000)
Te (0.500, 0.000, 0.000)
Au (0.000, 0.000, 0.000)
I (0.000, 0.000, 0.500)
N (0.500, 0.500, 0.500)

Output
**Total magnetic moment**: 0.000 μB per atom
**Space group**: No. 123
**Relative energy among the computed polymorphs**: 0.7873 eV/atom

Entry 5:
First-principles (PBE) data for an optimized crystal structure of Te2AuIN, as listed in Alexandria.

Cell: 4.892 4.892 4.801 Å, 90.00 90.00 90.00°
Fractional positions:
Te (0.000, 0.500, 0.000)
Te (0.500, 0.000, 0.000)
Au (0.000, 0.000, 0.500)
I (0.500, 0.500, 0.500)
N (0.500, 0.500, 0.000)

Output
**Total magnetic moment**: 0.000 μB per atom
**Space group**: No. 123
**Relative energy among the computed polymorphs**: 0.0127 eV/atom

Entry 6:
First-principles (PBE) data for an optimized crystal structure of Te2AuIN, as listed in Alexandria.

Cell: 5.990 5.990 3.881 Å, 90.00 90.00 90.00°
Fractional positions:
Te (0.000, 0.500, 0.000)
Te (0.500, 0.000, 0.000)
Au (0.000, 0.000, 0.500)
I (0.500, 0.500, 0.000)
N (0.500, 0.500, 0.500)

Output
**Total magnetic moment**: 0.000 μB per atom
**Space group**: No. 123
**Relative energy among the computed polymorphs**: 0.4066 eV/atom

Entry 7:
First-principles (PBE) data for an optimized crystal structure of Te2AuIN, as listed in Alexandria.

Cell: 5.961 5.961 3.770 Å, 90.00 90.00 90.00°
Fractional positions:
Te (0.000, 0.500, 0.000)
Te (0.500, 0.000, 0.000)
Au (0.000, 0.000, 0.000)
I (0.500, 0.500, 0.500)
N (0.000, 0.000, 0.500)

Output
**Total magnetic moment**: 0.000 μB per atom
**Space group**: No. 123
**Relative energy among the computed polymorphs**: 0.0000 eV/atom

Entry 8:
First-principles (PBE) data for an optimized crystal structure of TeAuIN2, as listed in Alexandria.

Cell: 4.016 4.016 8.205 Å, 90.00 90.00 90.00°
Fractional positions:
Te (0.000, 0.000, 0.000)
Au (0.500, 0.500, 0.500)
I (0.000, 0.000, 0.500)
N (0.000, 0.500, 0.000)
N (0.500, 0.000, 0.000)

Output
**Total magnetic moment**: 0.000 μB per atom
**Space group**: No. 123
**Relative energy among the computed polymorphs**: 0.0000 eV/atom

Question: The highest relative energy among the computed polymorphs belongs to which entry?
Answer: number 1